[1]
# PBE Pd2PbF8, relaxed
# **Total magnetic moment**: 0.000 μB per atom
# **Formation energy without anion corrections**: -1.534 eV per atom
# **Mass density**: 5.4 g cm⁻³
# **V**: 354 Å³/cell
data_Pd2PbF8
_cell_length_a 10.286
_cell_length_b 7.597
_cell_length_c 4.529
_cell_angle_alpha 90.00
_cell_angle_beta 92.63
_cell_angle_gamma 90.00
_space_group_name_H-M_alt 'C 1 2/m 1'
_space_group_IT_number 12
loop_
_space_group_symop_operation_xyz
'x,y,z'
'-x,-y,-z'
'-x,y,-z'
'x,-y,z'
'x+1/2,y+1/2,z'
'-x+1/2,-y+1/2,-z'
'-x+1/2,y+1/2,-z'
'x+1/2,-y+1/2,z'
loop_
_atom_site_label
_atom_site_type_symbol
_atom_site_fract_x
_atom_site_fract_y
_atom_site_fract_z
Pd1 Pd 0.114 0.000 0.259
Pb1 Pb 0.000 0.500 0.000
F1 F 0.087 0.000 0.754
F2 F 0.111 0.260 0.259
F3 F 0.196 0.500 0.733



[2]
# PBE P2OsSe, relaxed
# **Total magnetic moment**: 0.000 μB per atom
# **Formation energy without anion corrections**: 0.119 eV per atom
# **Mass density**: 7.5 g cm⁻³
# **V**: 73 Å³/cell
data_P2OsSe
_cell_length_a 3.870
_cell_length_b 3.883
_cell_length_c 4.930
_cell_angle_alpha 90.00
_cell_angle_beta 97.33
_cell_angle_gamma 90.00
_space_group_name_H-M_alt 'P 1 m 1'
_space_group_IT_number 6
loop_
_space_group_symop_operation_xyz
'x,y,z'
'x,-y,z'
loop_
_atom_site_label
_atom_site_type_symbol
_atom_site_fract_x
_atom_site_fract_y
_atom_site_fract_z
P1 P 0.000 0.000 0.000
P2 P 0.348 0.500 0.974
Os1 Os 0.478 0.000 0.723
Se1 Se 0.634 0.500 0.426



[3]
# PBE NdHoPbSe, relaxed
# **Total magnetic moment**: 0.000 μB per atom
# **Formation energy without anion corrections**: -1.108 eV per atom
# **Mass density**: 8.5 g cm⁻³
# **V**: 117 Å³/cell
data_NdHoPbSe
_cell_length_a 4.376
_cell_length_b 4.376
_cell_length_c 6.096
_cell_angle_alpha 90.00
_cell_angle_beta 90.00
_cell_angle_gamma 90.00
_space_group_name_H-M_alt 'P 4/m m m'
_space_group_IT_number 123
_space_group_name_Hall '-P 4 2'
loop_
_atom_site_label
_atom_site_type_symbol
_atom_site_fract_x
_atom_site_fract_y
_atom_site_fract_z
Nd1 Nd 0.000 0.000 0.000
Ho1 Ho 0.500 0.500 0.500
Pb1 Pb 0.500 0.500 0.000
Se1 Se 0.000 0.000 0.500



[4]
# PBE Rb2TiC, relaxed
# **Total magnetic moment**: 0.390 μB per atom
# **Mass density**: 2.2 g cm⁻³
# **V**: 682 Å³/cell
# **Energy of formation from the pure elements**: 0.879 eV/atom
data_Rb2TiC
_cell_length_a 13.008
_cell_length_b 13.008
_cell_length_c 4.028
_cell_angle_alpha 90.00
_cell_angle_beta 90.00
_cell_angle_gamma 90.00
_space_group_name_H-M_alt 'I -4 2 d'
_space_group_IT_number 122
_space_group_name_Hall 'I -4 2bw'
loop_
_atom_site_label
_atom_site_type_symbol
_atom_site_fract_x
_atom_site_fract_y
_atom_site_fract_z
Rb1 Rb 0.046 0.250 0.125
Ti1 Ti 0.000 0.000 0.500
C1 C 0.000 0.000 0.000



[5]
# PBE PmThSi2O8, relaxed
# **Total magnetic moment**: 0.045 μB per atom
# **Formation energy without anion corrections**: -3.066 eV per atom
# **Mass density**: 5.7 g cm⁻³
# **V**: 328 Å³/cell
data_PmThSi2O8
_cell_length_a 7.175
_cell_length_b 7.175
_cell_length_c 6.379
_cell_angle_alpha 90.00
_cell_angle_beta 90.00
_cell_angle_gamma 90.00
_space_group_name_H-M_alt 'I -4 m 2'
_space_group_IT_number 119
_space_group_name_Hall 'I -4 -2'
loop_
_atom_site_label
_atom_site_type_symbol
_atom_site_fract_x
_atom_site_fract_y
_atom_site_fract_z
Pm1 Pm 0.000 0.000 0.000
Th1 Th 0.000 0.500 0.250
Si1 Si 0.000 0.000 0.500
Si2 Si 0.000 0.500 0.750
O1 O 0.000 0.178 0.336
O2 O 0.000 0.324 0.916



[6]
# PBE Rb2NdTlSe4, relaxed
# **Total magnetic moment**: 0.000 μB per atom
# **Formation energy without anion corrections**: -1.077 eV per atom
# **Mass density**: 5.3 g cm⁻³
# **V**: 1046 Å³/cell
data_Rb2NdTlSe4
_cell_length_a 12.608
_cell_length_b 13.007
_cell_length_c 8.965
_cell_angle_alpha 90.00
_cell_angle_beta 134.64
_cell_angle_gamma 90.00
_space_group_name_H-M_alt 'C 1 2/c 1'
_space_group_IT_number 15
loop_
_space_group_symop_operation_xyz
'x,y,z'
'-x,-y,-z'
'-x,y,-z+1/2'
'x,-y,z+1/2'
'x+1/2,y+1/2,z'
'-x+1/2,-y+1/2,-z'
'-x+1/2,y+1/2,-z+1/2'
'x+1/2,-y+1/2,z+1/2'
loop_
_atom_site_label
_atom_site_type_symbol
_atom_site_fract_x
_atom_site_fract_y
_atom_site_fract_z
Rb1 Rb 0.000 0.000 0.000
Rb2 Rb 0.250 0.250 0.000
Nd1 Nd 0.250 0.250 0.500
Tl1 Tl 0.000 0.500 0.000
Se1 Se 0.001 0.260 0.033
Se2 Se 0.212 0.485 0.468



Q: Number 3 is which compound?
A: NdHoPbSe